An optimized crystal structure of TlHg4Pb6. Source: Alexandria, functional GGA-PBE.

Computed properties:
- space group = I-42m (121)
- density of states at the Fermi level (states/eV/f.u.) = 5.0
- energy relative to the elements (kJ per mole of atoms) = 9
- size of the total moment (μB per cell) = 0.000

Lattice parameters (Å, degrees): 8.4667 8.4667 8.4667 127.70 127.70 77.11
Closest atoms and distances in Å follow each position.
Atoms (fractional coordinates):
Tl 0.0000 0.0000 0.0000  4 Hg 3.24
Hg 0.0625 0.0625 0.4548  3 Pb 3.04-3.39, 1 Tl 3.24
Hg 0.3922 0.9375 0.0000  3 Pb 3.04-3.39, 1 Tl 3.24
Hg 0.6078 0.6078 0.5452  3 Pb 3.04-3.39, 1 Tl 3.24
Hg 0.9375 0.3922 0.0000  3 Pb 3.04-3.39, 1 Tl 3.24
Pb 0.0000 0.5000 0.5000  4 Pb 3.19, 4 Hg 3.43
Pb 0.2304 0.5441 0.0000  3 Hg 3.04-3.39, 3 Pb 3.19-3.31
Pb 0.4559 0.4559 0.6863  3 Hg 3.04-3.39, 3 Pb 3.19-3.31
Pb 0.5000 0.0000 0.5000  4 Pb 3.19, 4 Hg 3.43
Pb 0.5441 0.2304 0.0000  3 Hg 3.04-3.39, 3 Pb 3.19-3.31
Pb 0.7696 0.7696 0.3137  3 Hg 3.04-3.39, 3 Pb 3.19-3.31